The following is a DFT calculation (GGA-PBEsol) of a relaxed TePd3Se crystal.

Geometry as CIF:
```
data_TePd3Se
_cell_length_a 4.879
_cell_length_b 4.879
_cell_length_c 4.879
_cell_angle_alpha 90.00
_cell_angle_beta 90.00
_cell_angle_gamma 90.00
_space_group_name_H-M_alt 'P m -3 m'
_space_group_IT_number 221
_space_group_name_Hall '-P 4 2 3'
loop_
_atom_site_label
_atom_site_type_symbol
_atom_site_fract_x
_atom_site_fract_y
_atom_site_fract_z
Te1 Te 0.000 0.000 0.000
Pd1 Pd 0.000 0.000 0.500
Se1 Se 0.500 0.500 0.500
```

## Properties
ΔE_f (raw) (eV per atom): 0.604
Total moment (μB/f.u.): 0.00
N(E_F) (states/eV/f.u.): 5.136
Raw total energy (eV per formula unit): -22.23